Below is a relaxed Ac2HgBr crystal, with properties calculated at the GGA-PBE level.

```
data_Ac2HgBr
_cell_length_a 4.0643
_cell_length_b 4.0643
_cell_length_c 29.9153
_cell_angle_alpha 90.00
_cell_angle_beta 90.00
_cell_angle_gamma 120.00
_symmetry_space_group_name_H-M 'R -3 m'
_symmetry_Int_Tables_number 166
_symmetry_space_group_name_Hall '-R 3 2"'
loop_
_atom_site_label
_atom_site_fract_x
_atom_site_fract_y
_atom_site_fract_z
Ac1 0.0000 0.0000 0.2476
Hg1 0.0000 0.0000 0.5000
Br1 0.0000 0.0000 0.0000
```

Summary:
Formation energy from raw total energies: -0.78 eV/atom
Energy relative to the lowest polymorph listed for this composition: 0.026 eV per atom

Below is a relaxed SrMg2In crystal, with properties calculated at the GGA-PBE level.

```
data_SrMg2In
_cell_length_a 4.828
_cell_length_b 4.828
_cell_length_c 22.200
_cell_angle_alpha 90.00
_cell_angle_beta 90.00
_cell_angle_gamma 90.00
_symmetry_space_group_name_H-M 'I -4 2 d'
_symmetry_Int_Tables_number 122
_symmetry_space_group_name_Hall 'I -4 2bw'
loop_
_atom_site_label
_atom_site_fract_x
_atom_site_fract_y
_atom_site_fract_z
Sr1 0.000 0.000 0.000
Mg1 0.192 0.250 0.625
In1 0.000 0.000 0.500
```

Summary:
Calculated formation energy: 76 meV per atom

Below is a relaxed Li2AgF4 crystal, with properties calculated at the GGA-PBE level.

```
data_Li2AgF4
_cell_length_a 5.300
_cell_length_b 8.095
_cell_length_c 7.581
_cell_angle_alpha 90.00
_cell_angle_beta 90.00
_cell_angle_gamma 90.00
_symmetry_space_group_name_H-M 'C c c m'
_symmetry_Int_Tables_number 66
_symmetry_space_group_name_Hall '-C 2 2c'
loop_
_atom_site_label
_atom_site_fract_x
_atom_site_fract_y
_atom_site_fract_z
Li1 0.046 0.165 0.000
Ag1 0.000 0.500 0.250
F1 0.242 0.454 0.500
F2 0.250 0.250 0.186
```

Summary:
Formation energy from raw total energies: -2.04 eV/atom
Energy relative to the lowest polymorph listed for this composition: 0.101 eV per atom

Below is a relaxed NaSr2InCu crystal, with properties calculated at the GGA-PBE level.

```
data_NaSr2InCu
_cell_length_a 6.026
_cell_length_b 6.026
_cell_length_c 4.987
_cell_angle_alpha 90.00
_cell_angle_beta 90.00
_cell_angle_gamma 90.00
_symmetry_space_group_name_H-M 'P 4/m m m'
_symmetry_Int_Tables_number 123
_symmetry_space_group_name_Hall '-P 4 2'
loop_
_atom_site_label
_atom_site_fract_x
_atom_site_fract_y
_atom_site_fract_z
Na1 0.000 0.000 0.000
Sr1 0.000 0.500 0.500
In1 0.500 0.500 0.000
Cu1 0.500 0.500 0.500
```

Summary:
Calculated formation energy: -84 meV per atom

Below is a relaxed NpNiSnIr crystal, with properties calculated at the GGA-PBE level.

```
data_NpNiSnIr
_cell_length_a 6.635
_cell_length_b 6.635
_cell_length_c 6.635
_cell_angle_alpha 90.00
_cell_angle_beta 90.00
_cell_angle_gamma 90.00
_symmetry_space_group_name_H-M 'F -4 3 m'
_symmetry_Int_Tables_number 216
_symmetry_space_group_name_Hall 'F -4 2 3'
loop_
_atom_site_label
_atom_site_fract_x
_atom_site_fract_y
_atom_site_fract_z
Np1 0.000 0.000 0.000
Ni1 0.250 0.250 0.750
Sn1 0.000 0.000 0.500
Ir1 0.250 0.250 0.250
```

Summary:
Calculated formation energy: -162 meV per atom

Below is a relaxed Sc3Tl2Cd crystal, with properties calculated at the GGA-PBE level.

```
data_Sc3Tl2Cd
_cell_length_a 3.563
_cell_length_b 3.563
_cell_length_c 10.840
_cell_angle_alpha 90.00
_cell_angle_beta 90.00
_cell_angle_gamma 90.00
_symmetry_space_group_name_H-M 'P 4/m m m'
_symmetry_Int_Tables_number 123
_symmetry_space_group_name_Hall '-P 4 2'
loop_
_atom_site_label
_atom_site_fract_x
_atom_site_fract_y
_atom_site_fract_z
Sc1 0.000 0.000 0.000
Sc2 0.000 0.000 0.341
Tl1 0.500 0.500 0.173
Cd1 0.500 0.500 0.500
```

Summary:
Calculated formation energy: -276 meV per atom
Energy relative to the lowest polymorph listed for this composition: 0.005 eV per atom

Below is a relaxed B5C7 crystal, with properties calculated at the GGA-PBE level.

```
data_B5C7
_cell_length_a 3.692
_cell_length_b 4.673
_cell_length_c 5.314
_cell_angle_alpha 69.90
_cell_angle_beta 88.72
_cell_angle_gamma 68.05
_symmetry_space_group_name_H-M 'P 1'
_symmetry_Int_Tables_number 1
loop_
_symmetry_equiv_pos_as_xyz
'x,y,z'
loop_
_atom_site_label
_atom_site_fract_x
_atom_site_fract_y
_atom_site_fract_z
B1 0.000 0.000 0.000
B2 0.021 0.029 0.556
B3 0.056 0.383 0.948
B4 0.658 0.680 0.355
B5 0.687 0.092 0.220
C1 0.083 0.369 0.440
C2 0.306 0.391 0.197
C3 0.321 0.355 0.684
C4 0.405 0.689 0.613
C5 0.410 0.697 0.098
C6 0.631 0.709 0.850
C7 0.703 0.030 0.764
```

Summary:
Calculated formation energy: 384 meV per atom
Energy relative to the lowest polymorph listed for this composition: 0.126 eV per atom

Below is a relaxed LiAlGe crystal, with properties calculated at the GGA-PBE level.

```
data_LiAlGe
_cell_length_a 3.352
_cell_length_b 4.018
_cell_length_c 4.497
_cell_angle_alpha 90.00
_cell_angle_beta 90.00
_cell_angle_gamma 90.00
_symmetry_space_group_name_H-M 'P m m m'
_symmetry_Int_Tables_number 47
loop_
_symmetry_equiv_pos_as_xyz
'x,y,z'
'-x,-y,-z'
'-x,-y,z'
'x,y,-z'
'x,-y,-z'
'-x,y,z'
'-x,y,-z'
'x,-y,z'
loop_
_atom_site_label
_atom_site_fract_x
_atom_site_fract_y
_atom_site_fract_z
Li1 0.000 0.000 0.000
Al1 0.000 0.500 0.500
Ge1 0.500 0.000 0.500
```

Summary:
Calculated formation energy: 54 meV per atom

| no. | density of states at the Fermi level (states/eV/atom) |
| --- | --- |
| 1 | 0.69 |
| 2 | 0.79 |
| 3 | 0.41 |
| 4 | 0.76 |
| 5 | 1.98 |
| 6 | 0.98 |
| 7 | 0.14 |
| 8 | 0.36 |